Entry from OQMD: an optimized crystal structure of PuMgBe (PBE).

## Properties
Energy relative to the lowest polymorph listed for this composition (meV/atom): 0
Total magnetization (μB per formula unit): 6.34

Lattice parameters (Å, degrees): 4.584 4.584 4.584 60.00 60.00 60.00
Element x y z (fractional)
Pu 0.750 0.750 0.750
Be 0.000 0.000 0.000
Mg 0.250 0.250 0.250

---

Entry from OQMD: an optimized crystal structure of Mg2BeRe (PBE).

## Properties
Total magnetization (μB per formula unit): 0.60
Electronic total energy (eV/atom): -4.30

Lattice parameters (Å, degrees): 4.380 4.380 4.380 60.00 60.00 60.00
Element x y z (fractional)
Mg 0.750 0.750 0.750
Be 0.500 0.500 0.500
Mg 0.000 0.000 0.000
Re 0.250 0.250 0.250

---

Entry from OQMD: an optimized crystal structure of MgBeRe (PBE).

## Properties
Energy relative to the lowest polymorph listed for this composition (meV/atom): 0
Total magnetization (μB per formula unit): 1.48

Lattice parameters (Å, degrees): 4.181 4.181 4.181 60.00 60.00 60.00
Element x y z (fractional)
Be 0.250 0.250 0.250
Re 0.000 0.000 0.000
Mg 0.750 0.750 0.750

---

Entry from OQMD: an optimized crystal structure of MgBeZnSb (PBE).

## Properties
Energy relative to the lowest polymorph listed for this composition (meV/atom): 0

Lattice parameters (Å, degrees): 4.744 4.744 4.744 60.00 60.00 60.00
Element x y z (fractional)
Zn 0.750 0.750 0.750
Sb 0.250 0.250 0.250
Be 0.000 0.000 0.000
Mg 0.500 0.500 0.500

---

Entry from OQMD: an optimized crystal structure of MgBeZnSb (PBE).

## Properties
Energy relative to the lowest polymorph listed for this composition (meV/atom): 9

Lattice parameters (Å, degrees): 4.737 4.737 4.737 60.00 60.00 60.00
Element x y z (fractional)
Sb 0.000 0.000 0.000
Mg 0.500 0.500 0.500
Be 0.750 0.750 0.750
Zn 0.250 0.250 0.250

---

Entry from OQMD: an optimized crystal structure of MgScBeZn (PBE).

## Properties
Energy relative to the lowest polymorph listed for this composition (meV/atom): 0
Total magnetization (μB per formula unit): 0.00

Lattice parameters (Å, degrees): 4.519 4.519 4.519 60.00 60.00 60.00
Element x y z (fractional)
Sc 0.000 0.000 0.000
Be 0.750 0.750 0.750
Mg 0.500 0.500 0.500
Zn 0.250 0.250 0.250